[1]
The following is a PBE-GGA calculation of a relaxed TbUNi17 crystal, from the Alexandria database.

Structure (CIF):
```
data_TbUNi17
_chemical_formula_sum 'Tb3 U3 Ni51'
_cell_length_a 8.2465
_cell_length_b 8.2465
_cell_length_c 12.0552
_cell_angle_alpha 90.00
_cell_angle_beta 90.00
_cell_angle_gamma 120.00
_space_group_name_H-M_alt 'R 3 m'
_space_group_IT_number 160
_space_group_name_Hall 'R 3 -2"'
loop_
_atom_site_label
_atom_site_fract_x
_atom_site_fract_y
_atom_site_fract_z
Tb1 0.0000 0.0000 0.0000
U1 0.0000 0.0000 0.3272
Ni1 0.0000 0.0000 0.5587
Ni2 0.0000 0.0000 0.7588
Ni3 0.0365 0.3669 0.3286
Ni4 0.1676 0.3352 0.1487
Ni5 0.1677 0.3354 0.4961
Ni6 0.1699 0.3397 0.8421
```

---

[2]
The following is a PBE-GGA calculation of a relaxed Tb2UNi9 crystal, from the Alexandria database.

Structure (CIF):
```
data_Tb2UNi9
_chemical_formula_sum 'Tb6 U3 Ni27'
_cell_length_a 4.9255
_cell_length_b 4.9255
_cell_length_c 24.5308
_cell_angle_alpha 90.00
_cell_angle_beta 90.00
_cell_angle_gamma 120.00
_space_group_name_H-M_alt 'R -3 m'
_space_group_IT_number 166
_space_group_name_Hall '-R 3 2"'
loop_
_atom_site_label
_atom_site_fract_x
_atom_site_fract_y
_atom_site_fract_z
Tb1 0.0000 0.0000 0.1389
U1 0.0000 0.0000 0.0000
Ni1 0.0000 0.0000 0.3331
Ni2 0.0000 0.0000 0.5000
Ni3 0.9997 0.4998 0.0816
```

---

[3]
The following is a PBE-GGA calculation of a relaxed TbUNi10 crystal, from the Alexandria database.

Structure (CIF):
```
data_TbUNi10
_chemical_formula_sum 'Tb1 U1 Ni10'
_cell_length_a 3.980
_cell_length_b 4.853
_cell_length_c 8.369
_cell_angle_alpha 90.00
_cell_angle_beta 90.00
_cell_angle_gamma 90.00
_space_group_name_H-M_alt 'P m m m'
_space_group_IT_number 47
_space_group_name_Hall '-P 2 2'
loop_
_atom_site_label
_atom_site_fract_x
_atom_site_fract_y
_atom_site_fract_z
Tb1 0.000 0.000 0.000
U1 0.000 0.500 0.500
Ni1 0.000 0.000 0.339
Ni2 0.000 0.500 0.177
Ni3 0.500 0.000 0.500
Ni4 0.500 0.253 0.254
Ni5 0.500 0.500 0.000
```

---

[4]
The following is a PBE-GGA calculation of a relaxed TbUNi crystal, from the Alexandria database.

Structure (CIF):
```
data_TbUNi
_chemical_formula_sum 'Tb4 U4 Ni4'
_cell_length_a 3.085
_cell_length_b 17.033
_cell_length_c 4.711
_cell_angle_alpha 90.00
_cell_angle_beta 90.00
_cell_angle_gamma 90.00
_space_group_name_H-M_alt 'C m c m'
_space_group_IT_number 63
_space_group_name_Hall '-C 2c 2'
loop_
_atom_site_label
_atom_site_fract_x
_atom_site_fract_y
_atom_site_fract_z
Tb1 0.000 0.154 0.250
U1 0.000 0.466 0.250
Ni1 0.000 0.318 0.250
```

---

[5]
The following is a PBE-GGA calculation of a relaxed TbUNi2 crystal, from the Alexandria database.

Structure (CIF):
```
data_TbUNi2
_chemical_formula_sum 'Tb3 U3 Ni6'
_cell_length_a 3.6257
_cell_length_b 3.6257
_cell_length_c 21.2556
_cell_angle_alpha 90.00
_cell_angle_beta 90.00
_cell_angle_gamma 120.00
_space_group_name_H-M_alt 'R -3 m'
_space_group_IT_number 166
_space_group_name_Hall '-R 3 2"'
loop_
_atom_site_label
_atom_site_fract_x
_atom_site_fract_y
_atom_site_fract_z
Tb1 0.0000 0.0000 0.0000
U1 0.0000 0.0000 0.5000
Ni1 0.0000 0.0000 0.2405
```

---

[6]
The following is a PBE-GGA calculation of a relaxed TbVNi crystal, from the Alexandria database.

Structure (CIF):
```
data_TbVNi
_chemical_formula_sum 'Tb4 V4 Ni4'
_cell_length_a 10.635
_cell_length_b 3.343
_cell_length_c 6.329
_cell_angle_alpha 90.00
_cell_angle_beta 109.31
_cell_angle_gamma 90.00
_space_group_name_H-M_alt 'C 1 2/m 1'
_space_group_IT_number 12
_space_group_name_Hall '-C 2y'
loop_
_atom_site_label
_atom_site_fract_x
_atom_site_fract_y
_atom_site_fract_z
Tb1 0.021 0.000 0.270
V1 0.203 0.500 0.086
Ni1 0.193 0.500 0.622
```

---

[7]
The following is a PBE-GGA calculation of a relaxed TbY12Ni6 crystal, from the Alexandria database.

Structure (CIF):
```
data_TbY12Ni6
_chemical_formula_sum 'Tb2 Y24 Ni12'
_cell_length_a 9.891
_cell_length_b 9.891
_cell_length_c 9.891
_cell_angle_alpha 90.00
_cell_angle_beta 90.00
_cell_angle_gamma 90.00
_space_group_name_H-M_alt 'I m -3'
_space_group_IT_number 204
_space_group_name_Hall '-I 2 2 3'
loop_
_atom_site_label
_atom_site_fract_x
_atom_site_fract_y
_atom_site_fract_z
Tb1 0.000 0.000 0.000
Y1 0.000 0.184 0.311
Ni1 0.000 0.377 0.500
```

---

[8]
The following is a PBE-GGA calculation of a relaxed TbY2Ni9 crystal, from the Alexandria database.

Structure (CIF):
```
data_TbY2Ni9
_chemical_formula_sum 'Tb3 Y6 Ni27'
_cell_length_a 4.9763
_cell_length_b 4.9763
_cell_length_c 24.3767
_cell_angle_alpha 90.00
_cell_angle_beta 90.00
_cell_angle_gamma 120.00
_space_group_name_H-M_alt 'R -3 m'
_space_group_IT_number 166
_space_group_name_Hall '-R 3 2"'
loop_
_atom_site_label
_atom_site_fract_x
_atom_site_fract_y
_atom_site_fract_z
Tb1 0.0000 0.0000 0.0000
Y1 0.0000 0.0000 0.1389
Ni1 0.0000 0.0000 0.3330
Ni2 0.0000 0.0000 0.5000
Ni3 0.0006 0.5003 0.9182
```

---

[9]
The following is a PBE-GGA calculation of a relaxed TbYNi2 crystal, from the Alexandria database.

Structure (CIF):
```
data_TbYNi2
_chemical_formula_sum 'Tb2 Y2 Ni4'
_cell_length_a 4.210
_cell_length_b 5.441
_cell_length_c 7.068
_cell_angle_alpha 90.00
_cell_angle_beta 90.00
_cell_angle_gamma 90.00
_space_group_name_H-M_alt 'P m c 21'
_space_group_IT_number 26
_space_group_name_Hall 'P 2c -2'
loop_
_atom_site_label
_atom_site_fract_x
_atom_site_fract_y
_atom_site_fract_z
Tb1 0.000 0.117 0.000
Y1 0.500 0.383 0.639
Ni1 0.000 0.374 0.356
Ni2 0.500 0.124 0.283
```

---

[10]
The following is a PBE-GGA calculation of a relaxed TbY3Ni crystal, from the Alexandria database.

Structure (CIF):
```
data_TbY3Ni
_chemical_formula_sum 'Tb1 Y3 Ni1'
_cell_length_a 5.332
_cell_length_b 5.332
_cell_length_c 5.332
_cell_angle_alpha 90.00
_cell_angle_beta 90.00
_cell_angle_gamma 90.00
_space_group_name_H-M_alt 'P m -3 m'
_space_group_IT_number 221
_space_group_name_Hall '-P 4 2 3'
loop_
_atom_site_label
_atom_site_fract_x
_atom_site_fract_y
_atom_site_fract_z
Tb1 0.000 0.000 0.000
Y1 0.000 0.500 0.500
Ni1 0.500 0.500 0.500
```

---

[11]
The following is a PBE-GGA calculation of a relaxed TbYNi crystal, from the Alexandria database.

Structure (CIF):
```
data_TbYNi
_chemical_formula_sum 'Tb4 Y4 Ni4'
_cell_length_a 6.734
_cell_length_b 6.734
_cell_length_c 6.734
_cell_angle_alpha 90.00
_cell_angle_beta 90.00
_cell_angle_gamma 90.00
_space_group_name_H-M_alt 'F -4 3 m'
_space_group_IT_number 216
_space_group_name_Hall 'F -4 2 3'
loop_
_atom_site_label
_atom_site_fract_x
_atom_site_fract_y
_atom_site_fract_z
Tb1 0.000 0.000 0.000
Y1 0.000 0.000 0.500
Ni1 0.250 0.250 0.250
```

---

[12]
The following is a PBE-GGA calculation of a relaxed Tb2Y3Ni4 crystal, from the Alexandria database.

Structure (CIF):
```
data_Tb2Y3Ni4
_chemical_formula_sum 'Tb4 Y6 Ni8'
_cell_length_a 7.366
_cell_length_b 7.258
_cell_length_c 7.620
_cell_angle_alpha 90.00
_cell_angle_beta 106.46
_cell_angle_gamma 90.00
_space_group_name_H-M_alt 'P 1 21/c 1'
_space_group_IT_number 14
_space_group_name_Hall '-P 2ybc'
loop_
_atom_site_label
_atom_site_fract_x
_atom_site_fract_y
_atom_site_fract_z
Tb1 0.203 0.179 0.099
Y1 0.234 0.672 0.252
Y2 0.500 0.000 0.500
Ni1 0.091 0.526 0.886
Ni2 0.499 0.117 0.885
```

---

no.,ΔH_f (0 K) (meV/atom)
1,-164
2,-329
3,-278
4,110
5,-31
6,50
7,-229
8,-397
9,-437
10,-40
11,-139
12,-354